# Li2NdInI6 | Alexandria via LeMat-Bulk | PBE-GGA | optimized geometry
data_Li2NdInI6
_chemical_formula_sum 'Li6 Nd3 In3 I18'
_symmetry_space_group_name_H-M 'R 3'
_symmetry_Int_Tables_number 146
_symmetry_space_group_name_Hall 'R 3'
_cell_length_a 7.9119
_cell_length_b 7.9119
_cell_length_c 21.6216
_cell_angle_alpha 90.00
_cell_angle_beta 90.00
_cell_angle_gamma 120.00
loop_
_atom_site_label
_atom_site_fract_x
_atom_site_fract_y
_atom_site_fract_z
Li1 0.0000 0.0000 0.0000
Li2 0.0000 0.0000 0.4967
Nd1 0.0000 0.0000 0.6833
In1 0.0000 0.0000 0.1948
I1 0.9998 0.3503 0.7513
I2 0.0054 0.6043 0.2551
# Electronic total energy = -31.68 eV/f.u.
# Density = 4396 kg/m3
# Uncorrected formation energy = -1.104 eV/atom
# Total magnetization = 0.000 μB per atom